(1)
Below is Tb5Bi4Ru after structural relaxation, with properties calculated at the PBE-GGA level.

Output
Fermi-level density of states, states/eV/cell: 4.64
Total moment, μB per formula unit: 0.00
Energy of formation from the pure elements, eV/f.u.: -6.14
Symmetry: I4, No. 79

Cell and atoms, written as extended XYZ:
```
10
Lattice="-4.8993 4.8993 3.1538 4.8993 -4.8993 3.1538 4.8993 4.8993 -3.1538" Properties=species:S:1:pos:R:3 pbc="T T T"
Tb 0.0000 0.0000 0.0000
Tb 5.8089 2.2814 0.7590
Tb 2.2814 3.9897 0.7590
Tb 2.6179 0.9096 3.9128
Tb -0.9096 2.6179 3.9128
Bi 6.8418 -0.8474 0.7712
Bi 2.9567 0.8474 0.7712
Bi -0.8474 2.9567 0.7712
Bi 0.8474 6.8418 0.7712
Ru 0.0000 0.0000 3.5149
```



(2)
Below is Tb6BiRu after structural relaxation, with properties calculated at the PBE-GGA level.

Output
Fermi-level density of states, states/eV/cell: 9.27
Total moment, μB per formula unit: 0.00
Energy of formation from the pure elements, eV/f.u.: -1.09
Symmetry: P-1, No. 2

Cell and atoms, written as extended XYZ:
```
8
Lattice="6.8578 0.0000 0.0000 3.4283 5.9441 0.0000 3.4228 1.9827 6.6618" Properties=species:S:1:pos:R:3 pbc="T T T"
Tb 2.6178 3.0066 1.7994
Tb 7.3379 7.1603 4.8621
Tb 6.4315 5.1421 1.8003
Tb 7.2773 2.7847 4.8615
Tb 6.3709 0.7665 1.7998
Tb 11.0910 4.9202 4.8625
Bi 5.1430 2.9720 0.0000
Ru 1.7114 0.9914 3.3309
```



(3)
Below is Tc3BiRu after structural relaxation, with properties calculated at the PBE-GGA level.

Output
Fermi-level density of states, states/eV/cell: 7.69
Total moment, μB per formula unit: 0.82
Energy above the most stable polymorph in this dataset, eV/atom: 0.000
Energy of formation from the pure elements, eV/f.u.: 7.51
Symmetry: Pm-3m, No. 221

Cell and atoms, written as extended XYZ:
```
5
Lattice="4.7041 0.0000 0.0000 0.0000 4.7041 0.0000 0.0000 0.0000 4.7041" Properties=species:S:1:pos:R:3 pbc="T T T"
Tc 0.0000 0.0000 2.3521
Tc 0.0000 2.3521 0.0000
Tc 2.3521 0.0000 0.0000
Bi 2.3521 2.3521 2.3521
Ru 0.0000 0.0000 0.0000
```



(4)
Below is TcBiRu3 after structural relaxation, with properties calculated at the PBE-GGA level.

Output
Fermi-level density of states, states/eV/cell: 6.77
Total moment, μB per formula unit: 0.00
Energy of formation from the pure elements, eV/f.u.: 6.67
Symmetry: Pm-3m, No. 221

Cell and atoms, written as extended XYZ:
```
5
Lattice="4.6874 0.0000 0.0000 0.0000 4.6874 0.0000 0.0000 0.0000 4.6874" Properties=species:S:1:pos:R:3 pbc="T T T"
Tc 0.0000 0.0000 0.0000
Bi 2.3437 2.3437 2.3437
Ru 0.0000 0.0000 2.3437
Ru 0.0000 2.3437 0.0000
Ru 2.3437 0.0000 0.0000
```



(5)
Below is TcBi3Ru after structural relaxation, with properties calculated at the PBE-GGA level.

Output
Fermi-level density of states, states/eV/cell: 5.61
Total moment, μB per formula unit: 2.82
Energy above the most stable polymorph in this dataset, eV/atom: 0.000
Energy of formation from the pure elements, eV/f.u.: 5.76
Symmetry: Pm-3m, No. 221

Cell and atoms, written as extended XYZ:
```
5
Lattice="5.2425 0.0000 0.0000 0.0000 5.2425 0.0000 0.0000 0.0000 5.2425" Properties=species:S:1:pos:R:3 pbc="T T T"
Tc 0.0000 0.0000 0.0000
Bi 0.0000 2.6213 2.6213
Bi 2.6213 0.0000 2.6213
Bi 2.6213 2.6213 0.0000
Ru 2.6213 2.6213 2.6213
```



(6)
Below is TcBi2Ru2 after structural relaxation, with properties calculated at the PBE-GGA level.

Output
Fermi-level density of states, states/eV/cell: 5.55
Total moment, μB per formula unit: 4.25
Energy above the most stable polymorph in this dataset, eV/atom: 0.484
Energy of formation from the pure elements, eV/f.u.: 5.83
Symmetry: I4/mmm, No. 139

Cell and atoms, written as extended XYZ:
```
5
Lattice="-2.2914 2.2914 5.3630 2.2914 -2.2914 5.3630 2.2914 2.2914 -5.3630" Properties=species:S:1:pos:R:3 pbc="T T T"
Tc 0.0000 0.0000 0.0000
Bi 2.2914 0.0000 2.6815
Bi 0.0000 2.2914 2.6815
Ru 0.0000 0.0000 4.1844
Ru 0.0000 0.0000 6.5415
```



(7)
Below is TcBi2Ru2 after structural relaxation, with properties calculated at the PBE-GGA level.

Output
Fermi-level density of states, states/eV/cell: 9.40
Total moment, μB per formula unit: 1.60
Energy above the most stable polymorph in this dataset, eV/atom: 0.000
Energy of formation from the pure elements, eV/f.u.: 3.41
Symmetry: P4/mbm, No. 127

Cell and atoms, written as extended XYZ:
```
10
Lattice="6.8257 0.0000 0.0000 0.0000 6.8257 0.0000 0.0000 0.0000 4.2817" Properties=species:S:1:pos:R:3 pbc="T T T"
Tc 0.0000 0.0000 0.0000
Tc 3.4128 3.4128 0.0000
Bi 1.2133 2.1995 2.1408
Bi 2.1995 5.6124 2.1408
Bi 4.6261 1.2133 2.1408
Bi 5.6124 4.6261 2.1408
Ru 0.8936 4.3064 0.0000
Ru 2.5193 0.8936 0.0000
Ru 4.3064 5.9321 0.0000
Ru 5.9321 2.5193 0.0000
```



(8)
Below is Ti2TcBiRu after structural relaxation, with properties calculated at the PBE-GGA level.

Output
Fermi-level density of states, states/eV/cell: 6.06
Total moment, μB per formula unit: 0.00
Energy of formation from the pure elements, eV/f.u.: 4.73
Symmetry: P4/mmm, No. 123

Cell and atoms, written as extended XYZ:
```
5
Lattice="4.5990 0.0000 0.0000 0.0000 4.5990 0.0000 0.0000 0.0000 5.0437" Properties=species:S:1:pos:R:3 pbc="T T T"
Ti 0.0000 2.2995 0.0000
Ti 2.2995 0.0000 0.0000
Tc 0.0000 0.0000 2.5218
Bi 2.2995 2.2995 2.5218
Ru 2.2995 2.2995 0.0000
```



(9)
Below is ZrTcBiRu after structural relaxation, with properties calculated at the PBE-GGA level.

Output
Fermi-level density of states, states/eV/cell: 0.21
Total moment, μB per formula unit: 0.00
Energy of formation from the pure elements, eV/f.u.: -0.48
Symmetry: F-43m, No. 216

Cell and atoms, written as extended XYZ:
```
4
Lattice="0.0000 3.3016 3.3016 3.3016 0.0000 3.3016 3.3016 3.3016 0.0000" Properties=species:S:1:pos:R:3 pbc="T T T"
Zr 0.0000 0.0000 0.0000
Tc 1.6508 1.6508 1.6508
Bi 3.3016 3.3016 3.3016
Ru 4.9523 4.9523 4.9523
```



(10)
Below is BiTeRu3 after structural relaxation, with properties calculated at the PBE-GGA level.

Output
Fermi-level density of states, states/eV/cell: 7.80
E_form (uncorrected), kJ/mol of atoms: 119
Total moment, μB per formula unit: 0.00
Energy above the most stable polymorph in this dataset, eV/atom: 0.000
Symmetry: Pm-3m, No. 221

Cell and atoms, written as extended XYZ:
```
5
Lattice="4.8405 0.0000 0.0000 0.0000 4.8405 0.0000 0.0000 0.0000 4.8405" Properties=species:S:1:pos:R:3 pbc="T T T"
Bi 0.0000 0.0000 0.0000
Te 2.4203 2.4203 2.4203
Ru 0.0000 2.4203 2.4203
Ru 2.4203 0.0000 2.4203
Ru 2.4203 2.4203 0.0000
```



(11)
Below is BiTe2Ru after structural relaxation, with properties calculated at the PBE-GGA level.

Output
Fermi-level density of states, states/eV/cell: 3.36
E_form (uncorrected), kJ/mol of atoms: 0
Total moment, μB per formula unit: 0.00
Symmetry: R-3m, No. 166

Cell and atoms, written as extended XYZ:
```
4
Lattice="1.9071 1.1011 9.3231 -1.9071 1.1011 9.3231 0.0000 -2.2021 9.3231" Properties=species:S:1:pos:R:3 pbc="T T T"
Bi 0.0000 0.0000 0.0000
Te 0.0000 0.0000 3.1955
Te 0.0000 0.0000 24.7739
Ru 0.0000 0.0000 13.9847
```



(12)
Below is Bi3TeRu after structural relaxation, with properties calculated at the PBE-GGA level.

Output
Fermi-level density of states, states/eV/cell: 5.26
E_form (uncorrected), kJ/mol of atoms: 35
Total moment, μB per formula unit: 0.00
Energy above the most stable polymorph in this dataset, eV/atom: 0.000
Symmetry: Pm-3m, No. 221

Cell and atoms, written as extended XYZ:
```
5
Lattice="5.3220 0.0000 0.0000 0.0000 5.3220 0.0000 0.0000 0.0000 5.3220" Properties=species:S:1:pos:R:3 pbc="T T T"
Bi 0.0000 0.0000 2.6610
Bi 0.0000 2.6610 0.0000
Bi 2.6610 0.0000 0.0000
Te 2.6610 2.6610 2.6610
Ru 0.0000 0.0000 0.0000
```